# 1
Below is a geometry-optimized AsC structure, with properties calculated at the GGA-PBE level.

Computed properties:
energy relative to the lowest polymorph listed for this composition	891	meV/atom
space group	No. 129
total moment	0.0	μB per formula unit
energy of formation from the pure elements	138.1	kJ/mol of atoms
final energy	-5.51	eV per atom

a b c (Å): 3.5913 3.5913 5.0092
angles (deg): 90.00 90.00 90.00
Fractional coordinates of all 4 atoms:
C: 0.7500 0.2500 0.0000
C: 0.2500 0.7500 0.0000
As: 0.7500 0.7500 0.7799
As: 0.2500 0.2500 0.2201

# 2
Below is a geometry-optimized As2C structure, with properties calculated at the GGA-PBE level.

Computed properties:
energy relative to the lowest polymorph listed for this composition	717	meV/atom
space group	No. 65
total moment	0.0	μB per formula unit
energy of formation from the pure elements	117.1	kJ/mol of atoms
final energy	-4.96	eV per atom

a b c (Å): 7.2220 7.2220 2.9937
angles (deg): 90.00 90.00 137.16
Fractional coordinates of all 6 atoms:
As: 0.0000 0.0000 0.0000
As: 0.5000 0.5000 0.5000
As: 0.7167 0.2833 0.5000
As: 0.2833 0.7167 0.5000
C: 0.6250 0.3750 0.0000
C: 0.3750 0.6250 0.0000

# 3
Below is a geometry-optimized As2C structure, with properties calculated at the GGA-PBE level.

Computed properties:
energy relative to the lowest polymorph listed for this composition	957	meV/atom
space group	No. 63
total moment	0.0	μB per formula unit
energy of formation from the pure elements	140.3	kJ/mol of atoms
final energy	-4.72	eV per atom

a b c (Å): 5.7746 5.7746 4.5883
angles (deg): 90.00 90.00 130.02
Fractional coordinates of all 6 atoms:
As: 0.2767 0.0491 0.2500
As: 0.0491 0.2767 0.2500
As: 0.9509 0.7233 0.7500
As: 0.7233 0.9509 0.7500
C: 0.8119 0.8119 0.2500
C: 0.1881 0.1881 0.7500

# 4
Below is a geometry-optimized As3C2 structure, with properties calculated at the GGA-PBE level.

Computed properties:
energy relative to the lowest polymorph listed for this composition	385	meV/atom
space group	No. 164
total moment	0.0	μB per formula unit
energy of formation from the pure elements	129.5	kJ/mol of atoms
final energy	-5.14	eV per atom

a b c (Å): 3.3897 3.3897 7.9122
angles (deg): 90.00 90.00 120.00
Fractional coordinates of all 5 atoms:
As: 0.0000 0.0000 0.0000
As: 0.3333 0.6667 0.3316
As: 0.6667 0.3333 0.6684
C: 0.6667 0.3333 0.3984
C: 0.3333 0.6667 0.6016

# 5
Below is a geometry-optimized As2C structure, with properties calculated at the GGA-PBE level.

Computed properties:
energy relative to the lowest polymorph listed for this composition	102	meV/atom
space group	No. 8
total moment	0.0	μB per formula unit
energy of formation from the pure elements	57.7	kJ/mol of atoms
final energy	-5.58	eV per atom

a b c (Å): 6.7039 3.0687 5.2945
angles (deg): 90.00 90.59 90.00
Fractional coordinates of all 6 atoms:
As: 0.2934 0.0000 0.5474
As: 0.7320 0.5000 0.7191
As: 0.2934 0.5000 0.0474
As: 0.7320 0.0000 0.2191
C: 0.4364 0.5000 0.7158
C: 0.4364 0.0000 0.2158

# 6
Below is a geometry-optimized As3C4 structure, with properties calculated at the GGA-PBE level.

Computed properties:
energy relative to the lowest polymorph listed for this composition	0	meV/atom
space group	No. 215
total moment	0.9	μB per formula unit
energy of formation from the pure elements	146.5	kJ/mol of atoms
final energy	-5.74	eV per atom

a b c (Å): 4.4679 4.4679 4.4679
angles (deg): 90.00 90.00 90.00
Fractional coordinates of all 7 atoms:
As: 0.0000 0.5000 0.5000
As: 0.5000 0.0000 0.5000
As: 0.5000 0.5000 0.0000
C: 0.2445 0.2445 0.7555
C: 0.7555 0.7555 0.7555
C: 0.7555 0.2445 0.2445
C: 0.2445 0.7555 0.2445